Computed, not measured: a relaxed Cs5PbCl8 crystal at the PBE level of DFT.

Cell: 8.760 8.760 8.760 Å, 109.56 109.30 109.56°
Site moments in Bohr magnetons follow the coordinates.
Positions (direct):
1 Cs 0.895 0.878 0.253  0.00
2 Cs 0.374 0.122 0.017  0.00
3 Cs 0.500 0.000 0.500  0.00
4 Cs 0.747 0.643 0.626  0.00
5 Cs 0.983 0.357 0.105  0.00
6 Cl 0.004 0.132 0.715  0.04
7 Cl 0.583 0.868 0.872  0.04
8 Cl 0.461 0.590 0.169  0.18
9 Cl 0.831 0.292 0.421  0.18
10 Cl 0.579 0.410 0.871  0.18
11 Cl 0.128 0.711 0.996  0.04
12 Cl 0.285 0.289 0.417  0.04
13 Cl 0.129 0.708 0.539  0.18
14 Pb 0.250 0.500 0.750  0.00

## Properties
Uncorrected formation energy = -1600 meV per atom
M_tot = 1.18 μB per formula unit